[1]
A plane-wave DFT calculation with GGA-PBE was carried out for crystalline CrAu2Cl at its relaxed geometry.

Cell lengths 5.472, 5.472, 3.064 Å; angles 90.00, 90.00, 122.54 degrees
Each line ends with the local moment (μB).
Sites, in units of the cell vectors:
Cl 0.500 0.000 0.500  -0.06
Au 0.000 0.000 0.000  0.00
Cr 0.000 0.500 0.500  3.74
Au 0.500 0.500 0.000  0.00

Symmetry ... Cmmm, No. 65
Formation energy without anion corrections ... 0.30 eV per atom
Electronic total energy ... -16.81 eV/cell
M_tot ... 4.05 Bohr magnetons per cell
Offset from the most stable computed form ... 365 meV/atom

---

[2]
A plane-wave DFT calculation with GGA-PBE was carried out for crystalline LiBeV at its relaxed geometry.

Cell lengths 4.329, 4.329, 2.282 Å; angles 90.00, 90.00, 120.00 degrees
Each line ends with the local moment (μB).
Sites, in units of the cell vectors:
V 0.333 0.667 0.000  1.25
Li 0.667 0.333 0.500  0.03
Be 0.000 0.000 0.000  -0.01

Symmetry ... P-6m2, No. 187
Electronic total energy ... -13.05 eV/cell
M_tot ... 1.47 Bohr magnetons per cell
Energy of formation from the pure elements ... 0.569 eV/atom
Offset from the most stable computed form ... 428 meV/atom

---

[3]
A plane-wave DFT calculation with GGA-PBE was carried out for crystalline TlCd3 at its relaxed geometry.

Cell lengths 10.069, 10.069, 10.069 Å; angles 153.59, 153.59, 37.70 degrees
Sites, in units of the cell vectors:
Tl 0.624 0.624 0.000
Cd 0.000 0.500 0.500
Tl 0.376 0.376 0.000
Cd 0.250 0.750 0.500
Cd 0.873 0.873 0.000
Cd 0.750 0.250 0.500
Cd 0.500 0.000 0.500
Cd 0.127 0.127 0.000

Symmetry ... I4/mmm, No. 139
Electronic total energy ... -9.82 eV/cell
M_tot ... 0.00 Bohr magnetons per cell
Energy of formation from the pure elements ... 0.050 eV/atom

---

[4]
A plane-wave DFT calculation with GGA-PBE was carried out for crystalline Sr2MgSe at its relaxed geometry.

Cell lengths 5.665, 5.665, 4.020 Å; angles 90.00, 90.00, 95.23 degrees
Sites, in units of the cell vectors:
Sr 0.000 0.000 0.000
Sr 0.500 0.500 0.000
Mg 0.500 0.000 0.500
Se 0.000 0.500 0.500

Symmetry ... Cmmm, No. 65
Formation energy without anion corrections ... -0.70 eV per atom
Electronic total energy ... -11.23 eV/cell
M_tot ... 0.00 Bohr magnetons per cell
Offset from the most stable computed form ... 194 meV/atom

---

[5]
A plane-wave DFT calculation with GGA-PBE was carried out for crystalline NiIr2I at its relaxed geometry.

Cell lengths 3.882, 3.882, 9.504 Å; angles 78.21, 78.21, 90.00 degrees
Sites, in units of the cell vectors:
Ir 0.875 0.843 0.750
I 0.750 0.250 0.500
Ir 0.593 0.125 0.250
I 0.000 0.000 0.000
Ir 0.157 0.625 0.250
Ni 0.250 0.750 0.500
Ir 0.375 0.407 0.750
Ni 0.500 0.500 0.000

Symmetry ... I-42d, No. 122
Formation energy without anion corrections ... 0.80 eV per atom
Electronic total energy ... -43.71 eV/cell
M_tot ... 0.00 Bohr magnetons per cell
Offset from the most stable computed form ... 0 meV/atom

---

[6]
A plane-wave DFT calculation with GGA-PBE was carried out for crystalline Ce5TmSb4 at its relaxed geometry.

Cell lengths 4.328, 8.651, 9.726 Å; angles 103.93, 102.85, 90.00 degrees
Each line ends with the local moment (μB).
Sites, in units of the cell vectors:
Sb 0.994 0.753 0.987  -0.02
Sb 0.666 0.082 0.332  -0.02
Sb 0.006 0.247 0.013  -0.02
Tm 0.500 0.000 0.000  -0.01
Ce 0.836 0.183 0.671  0.95
Ce 0.500 0.500 0.000  0.89
Ce 0.176 0.352 0.353  1.10
Ce 0.164 0.817 0.329  0.95
Ce 0.824 0.648 0.647  1.10
Sb 0.334 0.918 0.668  -0.02

Symmetry ... C2/m, No. 12
Formation energy without anion corrections ... -0.59 eV per atom
Electronic total energy ... -56.48 eV/cell
M_tot ... 6.64 Bohr magnetons per cell

---

[7]
A plane-wave DFT calculation with GGA-PBE was carried out for crystalline Ac2La2I7 at its relaxed geometry.

Cell lengths 8.715, 8.362, 8.362 Å; angles 109.61, 88.39, 88.39 degrees
Sites, in units of the cell vectors:
La 0.148 0.697 0.697
Ac 0.500 0.645 0.355
Ac 0.500 0.355 0.645
I 0.779 0.639 0.639
I 0.289 0.000 0.603
I 0.000 0.000 0.000
I 0.711 0.000 0.397
La 0.852 0.303 0.303
I 0.221 0.361 0.361
I 0.289 0.603 0.000
I 0.711 0.397 0.000

Symmetry ... C2/m, No. 12
Formation energy without anion corrections ... -1.12 eV per atom
Electronic total energy ... -41.19 eV/cell
M_tot ... 0.36 Bohr magnetons per cell

---

[8]
A plane-wave DFT calculation with GGA-PBE was carried out for crystalline KGa2Pd at its relaxed geometry.

Cell lengths 4.867, 4.867, 4.867 Å; angles 60.00, 60.00, 60.00 degrees
Sites, in units of the cell vectors:
Ga 0.250 0.250 0.250
K 0.000 0.000 0.000
Ga 0.750 0.750 0.750
Pd 0.500 0.500 0.500

Symmetry ... Fm-3m, No. 225
Electronic total energy ... -12.19 eV/cell
M_tot ... 0.00 Bohr magnetons per cell
Energy of formation from the pure elements ... 0.038 eV/atom

---

[9]
A plane-wave DFT calculation with GGA-PBE was carried out for crystalline Pr2NdTc at its relaxed geometry.

Cell lengths 4.044, 6.532, 9.617 Å; angles 90.00, 90.00, 108.05 degrees
Sites, in units of the cell vectors:
Nd 0.922 0.844 0.750
Tc 0.739 0.478 0.250
Pr 0.356 0.713 0.430
Pr 0.356 0.713 0.070
Nd 0.078 0.156 0.250
Pr 0.644 0.287 0.570
Tc 0.261 0.522 0.750
Pr 0.644 0.287 0.930

Symmetry ... Cmcm, No. 63
Electronic total energy ... -49.05 eV/cell
M_tot ... 0.00 Bohr magnetons per cell
Energy of formation from the pure elements ... 0.042 eV/atom
Offset from the most stable computed form ... 0 meV/atom

---

[10]
A plane-wave DFT calculation with GGA-PBE was carried out for crystalline PrPuAsP at its relaxed geometry.

Cell lengths 4.169, 4.169, 5.893 Å; angles 90.01, 90.00, 90.00 degrees
Each line ends with the local moment (μB).
Sites, in units of the cell vectors:
Pr 0.000 0.892 0.592  0.02
P 0.000 0.891 0.092  -0.14
As 0.500 0.392 0.592  -0.08
Pu 0.500 0.391 0.092  5.00

Symmetry ... P4/mmm, No. 123
Electronic total energy ... -34.15 eV/cell
M_tot ... 4.95 Bohr magnetons per cell
Energy of formation from the pure elements ... -1.245 eV/atom

---

[11]
A plane-wave DFT calculation with GGA-PBE was carried out for crystalline Y4Se5 at its relaxed geometry.

Cell lengths 3.738, 8.281, 8.281 Å; angles 63.25, 76.94, 76.94 degrees
Sites, in units of the cell vectors:
Y 0.634 0.326 0.406
Y 0.366 0.007 0.261
Se 0.000 0.317 0.683
Se 0.000 0.667 0.333
Se 0.000 0.016 0.984
Y 0.634 0.739 0.993
Y 0.366 0.594 0.674
Se 0.747 0.920 0.586
Se 0.253 0.414 0.080

Symmetry ... Immm, No. 71
Formation energy without anion corrections ... -1.41 eV per atom
Electronic total energy ... -55.99 eV/cell
M_tot ... 0.00 Bohr magnetons per cell

---

[12]
A plane-wave DFT calculation with GGA-PBE was carried out for crystalline Li2GaAg at its relaxed geometry.

Cell lengths 3.766, 4.100, 4.100 Å; angles 90.00, 90.00, 90.00 degrees
Sites, in units of the cell vectors:
Li 0.000 0.000 0.500
Ag 0.500 0.000 0.000
Li 0.000 0.500 0.000
Ga 0.500 0.500 0.500

Symmetry ... P4/mmm, No. 123
Electronic total energy ... -10.64 eV/cell
M_tot ... 0.00 Bohr magnetons per cell
Energy of formation from the pure elements ... -0.232 eV/atom

---

[13]
A plane-wave DFT calculation with GGA-PBE was carried out for crystalline SrAl4Zn4 at its relaxed geometry.

Cell lengths 4.881, 8.656, 8.656 Å; angles 90.00, 90.00, 90.00 degrees
Sites, in units of the cell vectors:
Zn 0.962 0.655 0.228
Al 0.044 0.900 0.386
Al 0.956 0.386 0.100
Zn 0.038 0.772 0.655
Zn 0.462 0.728 0.845
Al 0.544 0.886 0.600
Sr 0.500 0.500 0.500
Zn 0.038 0.228 0.345
Al 0.456 0.400 0.886
Al 0.044 0.100 0.614
Zn 0.538 0.155 0.728
Sr 0.000 0.000 0.000
Al 0.456 0.600 0.114
Al 0.544 0.114 0.400
Zn 0.538 0.845 0.272
Zn 0.962 0.345 0.772
Al 0.956 0.614 0.900
Zn 0.462 0.272 0.155

Symmetry ... P4_2/n, No. 86
Electronic total energy ... -44.06 eV/cell
M_tot ... 0.00 Bohr magnetons per cell
Energy of formation from the pure elements ... -0.031 eV/atom

---

[14]
A plane-wave DFT calculation with GGA-PBE was carried out for crystalline LaYBr2 at its relaxed geometry.

Cell lengths 7.413, 7.413, 7.413 Å; angles 146.93, 146.93, 47.47 degrees
Sites, in units of the cell vectors:
Br 0.250 0.750 0.500
Y 0.750 0.250 0.500
La 0.500 0.500 0.000
Br 0.000 0.000 0.000

Symmetry ... I-4m2, No. 119
Formation energy without anion corrections ... -0.86 eV per atom
Electronic total energy ... -18.17 eV/cell
M_tot ... 0.00 Bohr magnetons per cell
Offset from the most stable computed form ... 363 meV/atom

---

[15]
A plane-wave DFT calculation with GGA-PBE was carried out for crystalline Te2AsBr at its relaxed geometry.

Cell lengths 8.683, 8.683, 2.880 Å; angles 90.00, 90.00, 140.43 degrees
Each line ends with the local moment (μB).
Sites, in units of the cell vectors:
Br 0.000 0.500 0.500  0.15
Te 0.000 0.000 0.000  0.00
As 0.500 0.000 0.500  0.00
Te 0.500 0.500 0.000  0.00

Symmetry ... Cmmm, No. 65
Formation energy without anion corrections ... 0.36 eV per atom
Electronic total energy ... -11.16 eV/cell
M_tot ... 0.18 Bohr magnetons per cell
Offset from the most stable computed form ... 429 meV/atom

---

[16]
A plane-wave DFT calculation with GGA-PBE was carried out for crystalline Na5Li4Sn2 at its relaxed geometry.

Cell lengths 5.520, 8.935, 7.975 Å; angles 124.07, 110.25, 90.00 degrees
Sites, in units of the cell vectors:
Na 0.737 0.408 0.474
Sn 0.137 0.137 0.274
Li 0.000 0.282 0.000
Na 0.263 0.934 0.526
Sn 0.863 0.863 0.726
Na 0.500 0.000 0.000
Na 0.737 0.066 0.474
Li 0.622 0.622 0.243
Na 0.263 0.592 0.526
Li 0.000 0.718 0.000
Li 0.378 0.378 0.757

Symmetry ... Immm, No. 71
Electronic total energy ... -23.12 eV/cell
M_tot ... 0.00 Bohr magnetons per cell
Energy of formation from the pure elements ... -0.079 eV/atom

---

[17]
A plane-wave DFT calculation with GGA-PBE was carried out for crystalline CaCeN at its relaxed geometry.

Cell lengths 5.303, 5.303, 5.489 Å; angles 118.88, 118.88, 90.00 degrees
Each line ends with the local moment (μB).
Sites, in units of the cell vectors:
Ce 0.373 0.373 0.745  0.54
Ca 0.873 0.873 0.746  0.03
N 0.605 0.605 0.209  -0.02

Symmetry ... I4mm, No. 107
Formation energy without anion corrections ... 0.23 eV per atom
Electronic total energy ... -15.57 eV/cell
M_tot ... 0.82 Bohr magnetons per cell
Offset from the most stable computed form ... 1042 meV/atom